VASP calculation (PBE) on SrYNi3 after structural relaxation.

Output
Calculated volume in Å³/cell: 120.3
Raw total energy in eV per atom: -4.507
E above lowest polymorph in meV per atom: 0
Density of states at the Fermi level in states/eV per cell: 3.9
ΔH_f (0 K) in eV/atom: 0.59

Cell: 4.9365 4.9365 4.9365 Å, 90.00 90.00 90.00°
With the nearest neighbours (Å) after each atom.
Positions (direct):
Sr (0.5000, 0.5000, 0.5000)  12 Ni 3.49
Ni (0.0000, 0.0000, 0.5000)  2 Y 2.47
Ni (0.5000, 0.0000, 0.0000)  2 Y 2.47
Ni (0.0000, 0.5000, 0.0000)  2 Y 2.47
Y (0.0000, 0.0000, 0.0000)  6 Ni 2.47



VASP calculation (PBE) on PRhNF2 after structural relaxation.

Output
ΔE_f (raw) in eV per atom: 0.11
Calculated volume in Å³/cell: 63.7
Raw total energy in eV per atom: -4.855
E above lowest polymorph in meV per atom: 0
Density of states at the Fermi level in states/eV per cell: 4.3

Cell: 4.4373 4.4373 3.2331 Å, 90.00 90.00 90.00°
With the nearest neighbours (Å) after each atom.
Positions (direct):
Rh (0.5000, 0.5000, 0.5000)  8 F 2.75
N (0.0000, 0.0000, 0.5000)  2 P 1.62
F (0.0000, 0.5000, 0.0000)  2 P 2.22
F (0.5000, 0.0000, 0.0000)  2 P 2.22
P (0.0000, 0.0000, 0.0000)  2 N 1.62



VASP calculation (PBE) on TaInN2F after structural relaxation.

Output
ΔE_f (raw) in eV per atom: 0.85
Calculated volume in Å³/cell: 69.7
Raw total energy in eV per atom: -5.773
E above lowest polymorph in meV per atom: 1529
Density of states at the Fermi level in states/eV per cell: 4.0

Cell: 4.2119 4.2119 3.9300 Å, 90.00 90.00 90.00°
With the nearest neighbours (Å) after each atom.
Positions (direct):
Ta (0.5000, 0.5000, 0.5000)  8 N 2.88, 4 F 2.98
In (0.0000, 0.0000, 0.0000)  2 F 1.96, 4 N 2.11
F (0.0000, 0.0000, 0.5000)  2 In 1.96
N (0.0000, 0.5000, 0.0000)  2 In 2.11
N (0.5000, 0.0000, 0.0000)  2 In 2.11